No. 1
Density functional theory data (PBE) for an optimized crystal structure of Tl6Se3F.

Output
DFT total energy	-3.23	eV per atom

abc: 4.386 12.078 13.984
angles: 116.65 90.00 90.00
Fractional positions:
Tl 0.750 0.491 0.656
Tl 0.250 0.509 0.344
Tl 0.750 0.899 0.063
Tl 0.250 0.101 0.937
Tl 0.750 0.377 0.033
Tl 0.250 0.623 0.967
Tl 0.750 0.766 0.284
Tl 0.250 0.234 0.716
Tl 0.750 0.092 0.434
Tl 0.250 0.908 0.566
Tl 0.750 0.788 0.724
Tl 0.250 0.212 0.276
Se 0.750 0.450 0.854
Se 0.250 0.550 0.146
Se 0.750 0.676 0.454
Se 0.250 0.324 0.546
Se 0.750 0.173 0.111
Se 0.250 0.827 0.889
F 0.750 0.074 0.599
F 0.250 0.926 0.401


No. 2
Density functional theory data (PBE) for an optimized crystal structure of Co2HgRhBr.

Output
DFT total energy	-3.38	eV per atom

abc: 4.276 5.764 4.276
angles: 90.00 90.00 90.00
Fractional positions:
Co 0.000 0.000 0.500
Co 0.500 0.000 0.000
Rh 0.500 0.500 0.500
Hg 0.000 0.500 0.000
Br 0.000 0.000 0.000


No. 3
Density functional theory data (PBE) for an optimized crystal structure of BeMoW3.

Output
ΔH_f (0 K)	840	meV per atom
E above lowest polymorph	0.000	eV per atom

abc: 4.244 4.244 4.244
angles: 90.00 90.00 90.00
Fractional positions:
Be 0.000 0.000 0.000
Mo 0.500 0.500 0.500
W 0.000 0.500 0.000
W 0.000 0.000 0.500
W 0.500 0.000 0.000


no.,DOS at the Fermi energy (states/eV/f.u.)
1,3.49
2,9.24
3,5.92